(1)
Density functional theory data (GGA-PBE) for Li2LaAg after structural relaxation.

```
Li2LaAg
1.0
-2.938 -4.135 -1.028
3.874 -0.008 -3.432
1.988 -1.971 2.249
Ag Li La
1 2 1
direct
0.500 0.000 0.500
0.000 0.000 0.000
0.500 0.500 0.000
0.000 0.500 0.500
```

Space group: Cmmm
Energy relative to the lowest polymorph listed for this composition (eV/atom): 0.265
Raw total energy (Ry/atom): -0.20172

=====

(2)
Density functional theory data (GGA-PBE) for Li2LaMgAg4 after structural relaxation.

```
Li2LaMgAg4
1.0
-2.196 3.502 -2.076
-1.308 -0.386 -4.420
-9.058 -2.349 0.465
Ag La Li Mg
4 1 2 1
direct
0.875 0.875 0.376
0.600 0.600 0.200
0.125 0.125 0.624
0.400 0.400 0.800
0.000 0.000 0.000
0.766 0.766 0.703
0.234 0.234 0.297
0.500 0.500 0.500
```

Space group: R-3m
Raw total energy (Ry/atom): -0.21445